1.
This record from the Alexandria database describes a relaxed YPb2Cl8 crystal. The functional is PBE-GGA.

Results
**Total magnetic moment**: 0.0 μB per formula unit
**Energy**: -3.966 eV per atom
**Space-group type**: No. 12

Cell: 7.0013 7.7129 7.7129 Å, 71.49 73.95 73.95°
Last column: nearest neighbours and their distance in Å.
Atoms (fractional coordinates):
Cl  0.7592  0.3395  0.9635  1 Y 2.67, 1 Pb 2.82
Cl  0.1880  0.5747  0.5747  2 Pb 2.65-2.86
Cl  0.2408  0.0365  0.6605  1 Y 2.67, 1 Pb 2.82
Cl  0.7401  0.8884  0.8884  1 Y 2.65, 1 Pb 2.79
Cl  0.2408  0.6605  0.0365  1 Y 2.67, 1 Pb 2.82
Cl  0.8120  0.4253  0.4253  2 Pb 2.65-2.86
Cl  0.7592  0.9635  0.3395  1 Y 2.67, 1 Pb 2.82
Y  0.0000  0.0000  0.0000  6 Cl 2.65-2.67
Pb  0.2150  0.3420  0.3420  5 Cl 2.65-2.86
Pb  0.7850  0.6580  0.6580  5 Cl 2.65-2.86
Cl  0.2599  0.1116  0.1116  1 Y 2.65, 1 Pb 2.79

***

2.
This record from the Alexandria database describes a relaxed NaTc2Sn crystal. The functional is PBE-GGA.

Results
**Total magnetic moment**: 0.6 μB per formula unit
**Energy**: -5.492 eV per atom
**Energy relative to the elements**: 98.6 kJ/mol of atoms
**Space-group type**: No. 122

Cell: 7.7485 7.7485 6.0657 Å, 50.30 50.30 90.00°
Last column: nearest neighbours and their distance in Å.
Atoms (fractional coordinates):
Tc  0.8750  0.9065  0.7500  2 Tc 2.65, 2 Sn 2.65
Tc  0.0935  0.6250  0.2500  2 Tc 2.65, 2 Sn 2.65
Sn  0.7500  0.2500  0.5000  2 Na 2.60, 4 Tc 2.65
Na  0.5000  0.5000  0.0000  2 Sn 2.60
Na  0.2500  0.7500  0.5000  2 Sn 2.60
Tc  0.6565  0.1250  0.2500  2 Tc 2.65, 2 Sn 2.65
Sn  0.0000  0.0000  0.0000  2 Na 2.60, 4 Tc 2.65
Tc  0.3750  0.3435  0.7500  2 Tc 2.65, 2 Sn 2.65

***

3.
This record from the Alexandria database describes a relaxed Cs2SrPb2 crystal. The functional is PBE-GGA.

Results
**Total magnetic moment**: 0.0 μB per formula unit
**Offset from the most stable computed form**: 0 meV/atom
**Energy**: -2.222 eV per atom
**Energy relative to the elements**: -5.9 kJ/mol of atoms
**Space-group type**: No. 139

Cell: 5.2208 5.2208 9.4273 Å, 73.92 73.92 90.00°
Last column: nearest neighbours and their distance in Å.
Atoms (fractional coordinates):
Pb  0.5834  0.5834  0.8331  1 Pb 2.90
Cs  0.7500  0.2500  0.5000  4 Cs 3.69, 4 Pb 3.89
Pb  0.4166  0.4166  0.1669  1 Pb 2.90
Sr  0.0000  0.0000  0.0000  8 Pb 3.97
Cs  0.2500  0.7500  0.5000  4 Cs 3.69, 4 Pb 3.89

***

4.
This record from the Alexandria database describes a relaxed Cs4Rb2Hg2O crystal. The functional is PBE-GGA.

Results
**Total magnetic moment**: 0.0 μB per formula unit
**Energy**: -1.621 eV per atom
**Space-group type**: No. 12

Cell: 7.7699 8.6134 8.6134 Å, 60.05 80.76 80.76°
Last column: nearest neighbours and their distance in Å.
Atoms (fractional coordinates):
Cs  0.3156  0.1555  0.6826  1 O 2.88
Cs  0.3156  0.6826  0.1555  1 O 2.88
Hg  0.7603  0.3346  0.3346  3 Rb 4.04-4.31, 6 Cs 4.13-4.43
Rb  0.2227  0.1587  0.1587  1 O 2.89
Cs  0.6844  0.3174  0.8445  1 O 2.88
O  0.5000  0.0000  0.0000  4 Cs 2.88, 2 Rb 2.89
Rb  0.7773  0.8413  0.8413  1 O 2.89
Cs  0.6844  0.8445  0.3174  1 O 2.88
Hg  0.2397  0.6654  0.6654  3 Rb 4.04-4.31, 6 Cs 4.13-4.43

***

Copy entry 3 word for word.
This record from the Alexandria database describes a relaxed Cs2SrPb2 crystal. The functional is PBE-GGA.

Results
**Total magnetic moment**: 0.0 μB per formula unit
**Offset from the most stable computed form**: 0 meV/atom
**Energy**: -2.222 eV per atom
**Energy relative to the elements**: -5.9 kJ/mol of atoms
**Space-group type**: No. 139

Cell: 5.2208 5.2208 9.4273 Å, 73.92 73.92 90.00°
Last column: nearest neighbours and their distance in Å.
Atoms (fractional coordinates):
Pb  0.5834  0.5834  0.8331  1 Pb 2.90
Cs  0.7500  0.2500  0.5000  4 Cs 3.69, 4 Pb 3.89
Pb  0.4166  0.4166  0.1669  1 Pb 2.90
Sr  0.0000  0.0000  0.0000  8 Pb 3.97
Cs  0.2500  0.7500  0.5000  4 Cs 3.69, 4 Pb 3.89

***

Look up the total magnetic moment of the third one. 0.0 μB per formula unit

***

energy of number 3 (Cs2SrPb2)? -2.222 eV per atom

***

total magnetic moment of number 2 (NaTc2Sn)? 0.6 μB per formula unit